1.
This record from Alexandria via LeMat-Bulk describes an optimized crystal structure of LaThAlGe. The functional is PBE.

Structure (extended XYZ):
```
4
Lattice="4.143 0.000 0.000 0.000 2.258 5.720 0.000 -2.258 5.720" Properties=species:S:1:pos:R:3 pbc="T T T"
La 0.000 0.000 0.000
Th 2.072 0.000 3.273
Al 0.000 0.000 8.184
Ge 2.072 0.000 6.544
```

Output
Its theoretical density is 7.3 Mg/m³. The value obtained for the total magnetization is 0.1 μB/f.u. The value obtained for the density of states at the Fermi level is 3.86 states/eV per cell. The calculation puts the energy of formation from the pure elements at -0.59 eV per atom.



2.
This record from Alexandria via LeMat-Bulk describes an optimized crystal structure of Rb2RhSeO. The functional is PBE.

Structure (extended XYZ):
```
5
Lattice="6.694 0.000 0.000 0.000 6.694 0.000 0.000 0.000 3.837" Properties=species:S:1:pos:R:3 pbc="T T T"
Rb 0.000 3.347 0.000
Rb 3.347 0.000 0.000
Rh 0.000 0.000 1.919
Se 3.347 3.347 0.000
O 3.347 3.347 1.919
```

Output
Its theoretical density is 3.6 Mg/m³. The value obtained for the total magnetization is 1.5 μB/f.u. The value obtained for the density of states at the Fermi level is 7.92 states/eV per cell. The value obtained for the uncorrected formation energy is 0.275 eV/atom.



3.
This record from Alexandria via LeMat-Bulk describes an optimized crystal structure of Dy3AlH. The functional is PBE.

Structure (extended XYZ):
```
5
Lattice="4.765 0.000 0.000 0.000 4.765 0.000 0.000 0.000 4.765" Properties=species:S:1:pos:R:3 pbc="T T T"
Dy 0.000 0.000 2.382
Dy 0.000 2.382 0.000
Dy 2.382 0.000 0.000
Al 2.382 2.382 2.382
H 0.000 0.000 0.000
```

Output
Its theoretical density is 7.9 Mg/m³. The value obtained for the total magnetization is 0.6 μB/f.u. The value obtained for the density of states at the Fermi level is 6.12 states/eV per cell. The raw total energy is -4.467 eV/atom.



4.
This record from Alexandria via LeMat-Bulk describes an optimized crystal structure of AcPr2Pt2. The functional is PBE.

Structure (extended XYZ):
```
10
Lattice="7.520 -2.199 0.000 7.520 2.199 0.000 -7.199 0.000 9.578" Properties=species:S:1:pos:R:3 pbc="T T T"
Ac 1.915 0.000 0.396
Ac 5.925 0.000 9.182
Pr -0.935 0.000 5.881
Pr 4.977 0.000 3.039
Pr 2.864 0.000 6.539
Pr 8.776 0.000 3.696
Pt -0.485 0.000 2.729
Pt -3.131 0.000 7.791
Pt 10.972 0.000 1.786
Pt 8.325 0.000 6.848
```

Output
Its theoretical density is 9.4 Mg/m³. The value obtained for the total magnetization is 0.0 μB/f.u. The value obtained for the density of states at the Fermi level is 8.19 states/eV per cell. As for the energy above the lowest structure with this stoichiometry: 0.0000 eV per atom. The calculation puts the energy of formation from the pure elements at -0.88 eV per atom.



Q: Look up the theoretical density of the second one.
A: 3.6 Mg/m³



Q: The lowest theoretical density belongs to which entry?
A: Rb2RhSeO